{
  "formula": "Ho4In3Ni",
  "functional": "PBE",
  "state": "optimized geometry",
  "cell": [[-3.083, -0.883, 1.348], [0.558, -3.315, -0.897], [7.021, -2.687, 14.297]],
  "species": ["Ni", "Ho", "Ho", "Ho", "Ho", "In", "In", "In"],
  "frac_coords": [[0.500, 0.500, 0.000], [0.000, 0.000, 0.900], [0.000, 0.000, 0.100], [0.000, 0.000, 0.367], [0.000, 0.000, 0.633], [0.500, 0.500, 0.235], [0.500, 0.500, 0.500], [0.500, 0.500, 0.765]],
  "formation_enthalpy_0k_ev_per_atom": -0.447,
  "total_magnetization_mub_per_fu": 0.095
}